Record 1
The following is a GGA-PBE calculation of AgP2Rh after structural relaxation, from the Alexandria database.

The formation energy comes out at 0.49 eV per atom. The density of states at the Fermi level comes out at 1.94 states/eV/f.u. Its space-group type is F-43m. As for the crystal system: cubic. The total magnetization is 0.00 μB per atom. The value obtained for the uncorrected energy is -19.06 eV/cell.

Cell lengths 4.4161, 4.4161, 4.4161 Å; angles 60.00, 60.00, 60.00 degrees
Closest atoms and distances in Å follow each position.
Sites, in units of the cell vectors:
Ag  0.0000  0.0000  0.0000  4 Rh 2.70, 4 P 2.70
P  0.2500  0.2500  0.2500  4 P 2.70, 4 Ag 2.70
P  0.5000  0.5000  0.5000  4 Rh 2.70, 4 P 2.70
Rh  0.7500  0.7500  0.7500  4 Ag 2.70, 4 P 2.70

---

Record 2
The following is a GGA-PBE calculation of AgP2Rh after structural relaxation, from the Alexandria database.

The formation energy comes out at -0.05 eV per atom. The density of states at the Fermi level comes out at 1.44 states/eV/f.u. Its space-group type is P2/m. As for the crystal system: monoclinic. The total magnetization is 0.00 μB per atom. The value obtained for the uncorrected energy is -21.22 eV/cell.

Cell lengths 4.2133, 3.8812, 4.3210 Å; angles 90.00, 94.24, 90.00 degrees
Closest atoms and distances in Å follow each position.
Sites, in units of the cell vectors:
Ag  0.0000  0.0000  0.0000  4 P 2.62, 2 Rh 2.90
P  0.3778  0.5000  0.2062  1 P 2.12, 2 Rh 2.35
P  0.6222  0.5000  0.7938  1 P 2.12, 2 Rh 2.35
Rh  0.5000  0.0000  0.5000  4 P 2.35

---

Record 3
The following is a GGA-PBE calculation of AgP2Rh after structural relaxation, from the Alexandria database.

The formation energy comes out at 0.24 eV per atom. The density of states at the Fermi level comes out at 2.22 states/eV/f.u. Its space-group type is P4/mmm. As for the crystal system: tetragonal. The total magnetization is 0.00 μB per atom. The value obtained for the uncorrected energy is -20.08 eV/cell.

Cell lengths 4.3013, 4.3013, 3.2552 Å; angles 90.00, 90.00, 90.00 degrees
Closest atoms and distances in Å follow each position.
Sites, in units of the cell vectors:
Ag  0.0000  0.0000  0.0000  8 P 2.70
P  0.0000  0.5000  0.5000  4 Rh 2.70, 4 Ag 2.70
P  0.5000  0.0000  0.5000  4 Rh 2.70, 4 Ag 2.70
Rh  0.5000  0.5000  0.0000  8 P 2.70

---

Record 4
The following is a GGA-PBE calculation of AgP2Rh after structural relaxation, from the Alexandria database.

The formation energy comes out at 0.05 eV per atom. The density of states at the Fermi level comes out at 1.24 states/eV/f.u. Its space-group type is P4/mmm. As for the crystal system: tetragonal. The total magnetization is 0.00 μB per atom. The value obtained for the uncorrected energy is -20.83 eV/cell.

Cell lengths 3.2667, 3.2667, 5.8604 Å; angles 90.00, 90.00, 90.00 degrees
Closest atoms and distances in Å follow each position.
Sites, in units of the cell vectors:
Ag  0.0000  0.0000  0.0000  8 P 2.91, 2 Rh 2.93
P  0.5000  0.5000  0.3028  1 P 2.31, 4 Rh 2.58
P  0.5000  0.5000  0.6972  1 P 2.31, 4 Rh 2.58
Rh  0.0000  0.0000  0.5000  8 P 2.58

---

> What is the uncorrected energy in the third record?

-20.08 eV/cell